## LaPm8Dy2 (PBE)

Data for an optimized crystal structure of LaPm8Dy2.

Cell lengths 9.7146, 9.7146, 6.1513 Å; angles 105.91, 105.91, 43.52 degrees
Atoms (fractional coordinates):
La 0.0000 0.0000 0.0000
Pm 0.1027 0.6519 0.3388
Pm 0.2053 0.2053 0.2549
Pm 0.3481 0.8973 0.6612
Pm 0.4757 0.4757 0.7444
Pm 0.5243 0.5243 0.2556
Pm 0.6519 0.1027 0.3388
Pm 0.7947 0.7947 0.7451
Pm 0.8973 0.3481 0.6612
Dy 0.3056 0.3056 0.8432
Dy 0.6944 0.6944 0.1568

- Calculated density: 7.061 g cm⁻³
- DOS(E_F): 15.70 states/eV/f.u.
- Volume: 382 Å³ per cell
- Total DFT energy (no corrections): -4.5937 eV/atom

---

## CoNiTe4 (PBE)

Data for an optimized crystal structure of CoNiTe4.

Cell lengths 6.2117, 6.2117, 6.2117 Å; angles 60.00, 60.00, 60.00 degrees
Atoms (fractional coordinates):
Co 0.0000 0.0000 0.0000
Ni 0.7500 0.7500 0.7500
Te 0.3751 0.3751 0.3751
Te 0.3751 0.3751 0.8746
Te 0.3751 0.8746 0.3751
Te 0.8746 0.3751 0.3751

- E above lowest polymorph: 8.87 eV per formula unit
- Calculated density: 6.153 g cm⁻³
- DOS(E_F): 13.82 states/eV/f.u.
- Volume: 169 Å³ per cell
- Total DFT energy (no corrections): -2.9822 eV/atom